(1)
First-principles (GGA-PBE) data for crystalline Pm6Sm4Y at its relaxed geometry, as listed in the Alexandria database.

abc: 7.640 7.640 8.664
angles: 116.16 116.16 90.00
Fractional coordinates of all 11 atoms:
Sm (0.909, 0.909, 0.158)
Sm (0.751, 0.091, 0.842)
Sm (0.091, 0.751, 0.842)
Sm (0.249, 0.249, 0.158)
Pm (0.000, 0.500, 0.000)
Pm (0.500, 0.000, 0.000)
Pm (0.459, 0.918, 0.377)
Pm (0.541, 0.541, 0.623)
Pm (0.918, 0.459, 0.377)
Pm (0.082, 0.082, 0.623)
Y (0.500, 0.500, 0.000)

Symmetry: I-42m (121)
Electronic total energy (eV/atom): -4.5248
Energy of formation from the pure elements (eV per formula unit): 4.07
E above lowest polymorph (eV per atom): 0.083

(2)
First-principles (GGA-PBE) data for crystalline UCrSi at its relaxed geometry, as listed in the Alexandria database.

abc: 4.025 4.189 5.998
angles: 90.00 109.61 90.00
Site moments in Bohr magnetons follow the coordinates.
Fractional coordinates of all 6 atoms:
Si (0.633, 0.250, 0.266)  -0.01
Si (0.367, 0.750, 0.734)  -0.01
U (0.921, 0.250, 0.842)  -0.14
U (0.079, 0.750, 0.158)  -0.14
Cr (0.253, 0.250, 0.505)  0.46
Cr (0.747, 0.750, 0.495)  0.46

Symmetry: Cmcm (63)
Electronic total energy (eV/atom): -9.0217
ΔE_f (raw) (eV per atom): -0.243

(3)
First-principles (GGA-PBE) data for crystalline Li2NiH6Ir at its relaxed geometry, as listed in the Alexandria database.

abc: 4.771 4.771 4.760
angles: 59.74 59.74 90.12
Fractional coordinates of all 10 atoms:
H (0.753, 0.246, 0.000)
H (0.247, 0.754, 0.000)
H (0.248, 0.248, 0.997)
H (0.246, 0.246, 0.511)
H (0.752, 0.752, 0.003)
H (0.754, 0.754, 0.489)
Li (0.750, 0.250, 0.500)
Li (0.250, 0.750, 0.500)
Ni (0.000, 0.000, 0.000)
Ir (0.500, 0.500, 0.000)

Symmetry: C2/m (12)
Electronic total energy (eV/atom): -4.1435

(4)
First-principles (GGA-PBE) data for crystalline Na3PaCd2Te6 at its relaxed geometry, as listed in the Alexandria database.

abc: 7.549 7.549 8.013
angles: 99.07 99.07 119.92
Fractional coordinates of all 12 atoms:
Na (0.832, 0.168, 0.500)
Na (0.500, 0.500, 0.500)
Na (0.168, 0.832, 0.500)
Te (0.746, 0.746, 0.229)
Te (0.924, 0.594, 0.770)
Te (0.406, 0.076, 0.230)
Te (0.594, 0.924, 0.770)
Te (0.254, 0.254, 0.771)
Te (0.076, 0.406, 0.230)
Cd (0.334, 0.666, 0.000)
Cd (0.666, 0.334, 0.000)
Pa (0.000, 0.000, 0.000)

Symmetry: C2/m (12)
Electronic total energy (eV/atom): -3.5578
ΔE_f (raw) (eV per atom): -0.713

(5)
First-principles (GGA-PBE) data for crystalline LiNdInSn at its relaxed geometry, as listed in the Alexandria database.

abc: 5.260 5.260 5.260
angles: 60.00 60.00 60.00
Fractional coordinates of all 4 atoms:
Nd (0.000, 0.000, 0.000)
In (0.250, 0.250, 0.250)
Sn (0.750, 0.750, 0.750)
Li (0.500, 0.500, 0.500)

Symmetry: F-43m (216)
Electronic total energy (eV/atom): -3.7708
Energy of formation from the pure elements (eV per formula unit): -1.66
E above lowest polymorph (eV per atom): 0.100

(6)
First-principles (GGA-PBE) data for crystalline RuPt at its relaxed geometry, as listed in the Alexandria database.

abc: 2.750 2.750 3.898
angles: 90.00 90.00 90.00
Fractional coordinates of all 2 atoms:
Ru (0.000, 0.000, 0.000)
Pt (0.500, 0.500, 0.500)

Symmetry: P4/mmm (123)
Electronic total energy (eV/atom): -7.5848
Energy of formation from the pure elements (eV per formula unit): 0.15